Compound: ZrNi2Sb
Source: Alexandria via LeMat-Bulk
Functional: PBE
Structure: relaxed

a b c (Å): 4.144 4.144 3.779
angles (deg): 90.00 90.00 90.00
Space group P4/mmm (No. 123)
Unique sites:
Zr: 0.000 0.000 0.000
Ni: 0.000 0.500 0.500
Sb: 0.500 0.500 0.000

formation energy from raw total energies	-1.38	eV/f.u.